A relaxed structure of Er3TmIn4, computed with PBE-GGA.

a b c (Å): 3.4029 6.7340 10.3877
angles (deg): 108.91 99.43 90.00
Atoms (fractional coordinates):
Er  0.0000  0.5000  0.0000
Er  0.2269  0.2270  0.4539
Er  0.7731  0.7730  0.5461
Tm  0.5000  0.0000  0.0000
In  0.3737  0.5983  0.7473
In  0.6263  0.4017  0.2527
In  0.6264  0.8510  0.2527
In  0.3736  0.1490  0.7473

Computed properties:
DOS at the Fermi energy (states/eV/atom): 0.676
Electronic total energy (eV per cell): -31.45